No. 1
# PBE-GGA NdIn2Rh, optimized geometry
# - ΔE_f: -0.61 eV per atom
data_NdIn2Rh
_chemical_formula_sum 'Nd2 In4 Rh2'
_cell_length_a 4.4372
_cell_length_b 8.0840
_cell_length_c 5.5730
_cell_angle_alpha 90.00
_cell_angle_beta 113.25
_cell_angle_gamma 90.00
_symmetry_space_group_name_H-M 'P 1 21/m 1'
_symmetry_Int_Tables_number 11
loop_
_symmetry_equiv_pos_as_xyz
'x,y,z'
'-x,-y,-z'
'-x,y+1/2,-z'
'x,-y+1/2,z'
loop_
_atom_site_label
_atom_site_type_symbol
_atom_site_fract_x
_atom_site_fract_y
_atom_site_fract_z
_atom_site_occupancy
Nd1 Nd 0.0679 0.2500 0.1332 1
In1 In 0.3534 0.0506 0.7076 1
Rh1 Rh 0.2159 0.7500 0.4315 1

---

No. 2
# PBE-GGA Tb2YAg3, optimized geometry
# - ΔE_f: -0.32 eV per atom
data_Tb2YAg3
_chemical_formula_sum 'Tb2 Y1 Ag3'
_cell_length_a 3.6358
_cell_length_b 3.6358
_cell_length_c 11.0263
_cell_angle_alpha 90.00
_cell_angle_beta 90.00
_cell_angle_gamma 90.00
_symmetry_space_group_name_H-M 'P 4/m m m'
_symmetry_Int_Tables_number 123
_symmetry_space_group_name_Hall '-P 4 2'
loop_
_atom_site_label
_atom_site_type_symbol
_atom_site_fract_x
_atom_site_fract_y
_atom_site_fract_z
_atom_site_occupancy
Tb1 Tb 0.0000 0.0000 0.1670 1
Y1 Y 0.0000 0.0000 0.5000 1
Ag1 Ag 0.5000 0.5000 0.0000 1
Ag2 Ag 0.5000 0.5000 0.3337 1

---

No. 3
# PBE-GGA Hf2Tc, optimized geometry
# - ΔE_f: -0.32 eV per atom
data_Hf2Tc
_chemical_formula_sum 'Hf4 Tc2'
_cell_length_a 4.6815
_cell_length_b 4.6683
_cell_length_c 5.7202
_cell_angle_alpha 90.00
_cell_angle_beta 113.93
_cell_angle_gamma 90.00
_symmetry_space_group_name_H-M 'C 1 2/m 1'
_symmetry_Int_Tables_number 12
loop_
_symmetry_equiv_pos_as_xyz
'x,y,z'
'-x,-y,-z'
'-x,y,-z'
'x,-y,z'
'x+1/2,y+1/2,z'
'-x+1/2,-y+1/2,-z'
'-x+1/2,y+1/2,-z'
'x+1/2,-y+1/2,z'
loop_
_atom_site_label
_atom_site_type_symbol
_atom_site_fract_x
_atom_site_fract_y
_atom_site_fract_z
_atom_site_occupancy
Hf1 Hf 0.1499 0.0000 0.2972 1
Tc1 Tc 0.0000 0.5000 0.0000 1

---

Number 1: uncorrected energy -5.007 eV/atom. Number 2: uncorrected energy -4.368 eV/atom. Number 3: uncorrected energy -10.415 eV/atom.